Entry 1:
PBE PaCrMo2C4, relaxed; symmetry = Cmcm (63); V = 11.68 A^3/atom; crystal system = orthorhombic; size of the total moment = 0.00 μB per formula unit
1.0
1.606 -5.488 0.000
1.606 5.488 0.000
0.000 0.000 10.606
Pa Cr Mo C
2 2 4 8
Cartesian
1.606 4.382 7.954 Pa
1.606 -4.382 2.651 Pa
1.606 3.716 2.651 Cr
1.606 -3.716 7.954 Cr
1.606 1.364 5.734 Mo
1.606 1.364 10.175 Mo
1.606 -1.364 0.431 Mo
1.606 -1.364 4.872 Mo
0.000 0.000 0.000 C
0.000 0.000 5.303 C
1.606 2.535 1.225 C
1.606 2.535 4.078 C
1.606 0.698 7.954 C
1.606 -0.698 2.651 C
1.606 -2.535 6.528 C
1.606 -2.535 9.380 C

Entry 2:
PBE CrMoPdC2, relaxed; symmetry = P4/mmm (123); V = 15.38 A^3/atom; crystal system = tetragonal; size of the total moment = 0.44 μB per formula unit
1.0
3.793 0.000 0.000
0.000 3.793 0.000
0.000 0.000 5.347
Cr Mo Pd C
1 1 1 2
Cartesian
0.000 0.000 0.000 Cr
1.896 1.896 0.000 Mo
1.896 1.896 2.673 Pd
0.000 1.896 2.673 C
1.896 0.000 2.673 C

Number 1: N(E_F) 8.13 states/eV per cell, formation enthalpy at 0 K -0.09 eV per atom, total DFT energy (no corrections) -9.796 eV per atom. Number 2: N(E_F) 5.19 states/eV per cell, formation enthalpy at 0 K 2.56 eV per atom, total DFT energy (no corrections) -6.262 eV per atom.